Entry 1:
Tl2AgSn2 at its PBEsol-relaxed geometry. Source: the Alexandria database, functional SCAN.

Its total magnetic moment is 0.00 Bohr magnetons per cell. The formation energy comes out at 271 meV per atom. The calculation puts the energy relative to the lowest polymorph listed for this composition at 0.153 eV/atom.

The structure belongs to space group I4/mmm (No. 139); the cell edges are 4.0690, 4.0690 and 16.7464 Å and the angles 90.00°, 90.00° and 90.00°. The inequivalent atoms are Tl at (0.0000, 0.0000, 0.0906), Ag at (0.0000, 0.0000, 0.5000) and Sn at (0.0000, 0.5000, 0.2500).

Entry 2:
SrCaSe2Br at its PBEsol-relaxed geometry. Source: the Alexandria database, functional SCAN.

Its total magnetic moment is 0.01 Bohr magnetons per cell. For the formation energy from raw total energies, the calculation gives -1.145 eV per atom.

The structure belongs to space group P4/mmm (No. 123); the cell edges are 5.6126, 5.6126 and 5.6047 Å and the angles 90.00°, 90.00° and 90.00°. The inequivalent atoms are Sr at (0.0000, 0.0000, 0.0000), Ca at (0.5000, 0.5000, 0.5000), Se at (0.0000, 0.5000, 0.0000) and Br at (0.0000, 0.0000, 0.5000).

Entry 3:
BaSr3B at its PBEsol-relaxed geometry. Source: the Alexandria database, functional SCAN.

Its total magnetic moment is 1.63 Bohr magnetons per cell. The formation energy comes out at 326 meV per atom. The calculation puts the energy relative to the lowest polymorph listed for this composition at 0.000 eV/atom.

The structure belongs to space group Pm-3m (No. 221); the cell edges are 5.8906, 5.8906 and 5.8906 Å and the angles 90.00°, 90.00° and 90.00°. The inequivalent atoms are Ba at (0.0000, 0.0000, 0.0000), Sr at (0.0000, 0.5000, 0.5000) and B at (0.5000, 0.5000, 0.5000).

Entry 4:
GdTa4O12 at its PBEsol-relaxed geometry. Source: the Alexandria database, functional SCAN.

Its total magnetic moment is 16.08 Bohr magnetons per cell. For the formation energy from raw total energies, the calculation gives -3.016 eV per atom.

The structure belongs to space group Amm2 (No. 38); the cell edges are 7.7657, 7.6923 and 7.8266 Å and the angles 90.00°, 90.00° and 90.00°. The inequivalent atoms are Gd at (0.0000, 0.0000, 0.0000), Ta at (0.2575, 0.2493, 0.7464), O at (0.0000, 0.1990, 0.2352), O at (0.1889, 0.0000, 0.7537), O at (0.2274, 0.2268, 0.9965), O at (0.2843, 0.0000, 0.2620) and O at (0.5000, 0.2037, 0.7351).

Entry 5:
LiMo2Se at its PBEsol-relaxed geometry. Source: the Alexandria database, functional SCAN.

Its total magnetic moment is 0.00 Bohr magnetons per cell. For the formation energy from raw total energies, the calculation gives 0.093 eV per atom.

The structure belongs to space group Immm (No. 71); the cell edges are 3.1036, 3.5631 and 11.1447 Å and the angles 90.00°, 90.00° and 90.00°. The inequivalent atoms are Li at (0.0000, 0.0000, 0.0000), Mo at (0.0000, 0.5000, 0.1974) and Se at (0.0000, 0.0000, 0.5000).

Entry 6:
SrCaAu2 at its PBEsol-relaxed geometry. Source: the Alexandria database, functional SCAN.

Its total magnetic moment is 0.00 Bohr magnetons per cell. The formation energy comes out at -896 meV per atom.

The structure belongs to space group P4/mmm (No. 123); the cell edges are 5.2045, 5.2045 and 3.6323 Å and the angles 90.00°, 90.00° and 90.00°. The inequivalent atoms are Sr at (0.0000, 0.0000, 0.0000), Ca at (0.5000, 0.5000, 0.0000) and Au at (0.0000, 0.5000, 0.5000).

Entry 7:
TlSb3Os at its PBEsol-relaxed geometry. Source: the Alexandria database, functional SCAN.

Its total magnetic moment is 0.00 Bohr magnetons per cell. For the formation energy from raw total energies, the calculation gives 0.565 eV per atom.

The structure belongs to space group Pm-3m (No. 221); the cell edges are 5.1648, 5.1648 and 5.1648 Å and the angles 90.00°, 90.00° and 90.00°. The inequivalent atoms are Tl at (0.0000, 0.0000, 0.0000), Sb at (0.0000, 0.5000, 0.5000) and Os at (0.5000, 0.5000, 0.5000).

Entry 8:
LiTc2Au at its PBEsol-relaxed geometry. Source: the Alexandria database, functional SCAN.

Its total magnetic moment is 0.00 Bohr magnetons per cell. The formation energy comes out at 386 meV per atom. The calculation puts the energy relative to the lowest polymorph listed for this composition at 0.269 eV/atom.

The structure belongs to space group P4/mmm (No. 123); the cell edges are 2.5709, 2.5709 and 8.8868 Å and the angles 90.00°, 90.00° and 90.00°. The inequivalent atoms are Li at (0.0000, 0.0000, 0.0000), Tc at (0.5000, 0.5000, 0.2463) and Au at (0.0000, 0.0000, 0.5000).

Entry 9:
As2AuCl2 at its PBEsol-relaxed geometry. Source: the Alexandria database, functional SCAN.

Its total magnetic moment is 0.00 Bohr magnetons per cell. For the formation energy from raw total energies, the calculation gives -0.283 eV per atom. The calculation puts the energy relative to the lowest polymorph listed for this composition at 0.000 eV/atom.

The structure belongs to space group P4/mbm (No. 127); the cell edges are 6.5799, 6.5799 and 4.9484 Å and the angles 90.00°, 90.00° and 90.00°. The inequivalent atoms are As at (0.1392, 0.3608, 0.0000), Au at (0.0000, 0.0000, 0.0000) and Cl at (0.1741, 0.3259, 0.5000).

Entry 10:
KMg2Pd2 at its PBEsol-relaxed geometry. Source: the Alexandria database, functional SCAN.

Its total magnetic moment is 0.00 Bohr magnetons per cell. The formation energy comes out at -345 meV per atom.

The structure belongs to space group I4/mmm (No. 139); the cell edges are 4.4627, 4.4627 and 11.1548 Å and the angles 90.00°, 90.00° and 90.00°. The inequivalent atoms are K at (0.0000, 0.0000, 0.0000), Mg at (0.0000, 0.5000, 0.2500) and Pd at (0.0000, 0.0000, 0.3815).

Entry 11:
ZrTcPb2 at its PBEsol-relaxed geometry. Source: the Alexandria database, functional SCAN.

Its total magnetic moment is 0.00 Bohr magnetons per cell. The formation energy comes out at 371 meV per atom. The calculation puts the energy relative to the lowest polymorph listed for this composition at 0.190 eV/atom.

The structure belongs to space group C2/m (No. 12); the cell edges are 6.0782, 9.0600 and 3.2594 Å and the angles 90.00°, 110.52° and 90.00°. The inequivalent atoms are Zr at (0.0000, 0.0000, 0.0000), Tc at (0.0000, 0.5000, 0.0000) and Pb at (0.2500, 0.2500, 0.5000).

Entry 12:
Rb2Cu3P4O14 at its PBEsol-relaxed geometry. Source: the Alexandria database, functional SCAN.

Its total magnetic moment is 5.98 Bohr magnetons per cell. For the formation energy from raw total energies, the calculation gives -2.089 eV per atom.

The structure belongs to space group P2_1/c (No. 14); the cell edges are 7.6936, 10.7664 and 7.7329 Å and the angles 90.00°, 103.98° and 90.00°. The inequivalent atoms are Rb at (0.2495, 0.1879, 0.0423), Cu at (0.2305, 0.6021, 0.2312), Cu at (0.5000, 0.0000, 0.5000), P at (0.1148, 0.5490, 0.8323), P at (0.3784, 0.6606, 0.6559), O at (0.0575, 0.0044, 0.7966), O at (0.0801, 0.6209, 0.9910), O at (0.1882, 0.6511, 0.7115), O at (0.2584, 0.0525, 0.3778), O at (0.3636, 0.5994, 0.4765), O at (0.4137, 0.6987, 0.1575) and O at (0.4751, 0.0966, 0.7017).

Entry 13:
LiHgAu2 at its PBEsol-relaxed geometry. Source: the Alexandria database, functional SCAN.

Its total magnetic moment is 0.00 Bohr magnetons per cell. The formation energy comes out at -331 meV per atom.

The structure belongs to space group P4/mmm (No. 123); the cell edges are 4.0184, 4.0184 and 4.1970 Å and the angles 90.00°, 90.00° and 90.00°. The inequivalent atoms are Li at (0.0000, 0.0000, 0.0000), Hg at (0.5000, 0.5000, 0.0000) and Au at (0.0000, 0.5000, 0.5000).

Entry 14:
TmAlNi at its PBEsol-relaxed geometry. Source: the Alexandria database, functional SCAN.

Its total magnetic moment is 0.00 Bohr magnetons per cell. The formation energy comes out at -600 meV per atom.

The structure belongs to space group Amm2 (No. 38); the cell edges are 8.3110, 5.2737 and 9.0046 Å and the angles 90.00°, 90.00° and 90.00°. The inequivalent atoms are Tm at (0.1744, 0.0000, 0.0000), Tm at (0.2925, 0.0000, 0.3360), Al at (0.2378, 0.0000, 0.6741), Al at (0.5000, 0.2454, 0.0810), Ni at (0.0000, 0.0000, 0.5032), Ni at (0.0000, 0.2457, 0.2548) and Ni at (0.5000, 0.0000, 0.8357).

Entry 15:
MnBe4Pt at its PBEsol-relaxed geometry. Source: the Alexandria database, functional SCAN.

Its total magnetic moment is 17.47 Bohr magnetons per cell. The formation energy comes out at -595 meV per atom.

The structure belongs to space group F-43m (No. 216); the cell edges are 6.1074, 6.1074 and 6.1074 Å and the angles 90.00°, 90.00° and 90.00°. The inequivalent atoms are Mn at (0.0000, 0.0000, 0.0000), Be at (0.1260, 0.1260, 0.6260) and Pt at (0.2500, 0.2500, 0.2500).

Entry 16:
NaNiTe2 at its PBEsol-relaxed geometry. Source: the Alexandria database, functional SCAN.

Its total magnetic moment is 4.98 Bohr magnetons per cell. For the formation energy from raw total energies, the calculation gives 0.110 eV per atom.

The structure belongs to space group Fm-3m (No. 225); the cell edges are 6.9486, 6.9486 and 6.9486 Å and the angles 90.00°, 90.00° and 90.00°. The inequivalent atoms are Na at (0.0000, 0.0000, 0.0000), Ni at (0.0000, 0.0000, 0.5000) and Te at (0.2500, 0.2500, 0.2500).

Entry 17:
NiPb3S at its PBEsol-relaxed geometry. Source: the Alexandria database, functional SCAN.

Its total magnetic moment is 1.43 Bohr magnetons per cell. For the formation energy from raw total energies, the calculation gives 0.792 eV per atom.

The structure belongs to space group Pm-3m (No. 221); the cell edges are 5.3593, 5.3593 and 5.3593 Å and the angles 90.00°, 90.00° and 90.00°. The inequivalent atoms are Ni at (0.0000, 0.0000, 0.0000), Pb at (0.0000, 0.5000, 0.5000) and S at (0.5000, 0.5000, 0.5000).

Entry 18:
SiNiH2 at its PBEsol-relaxed geometry. Source: the Alexandria database, functional SCAN.

Its total magnetic moment is 0.08 Bohr magnetons per cell. The calculation puts the total energy at -119.9 eV/cell.

The structure belongs to space group Fm-3m (No. 225); the cell edges are 4.9355, 4.9355 and 4.9355 Å and the angles 90.00°, 90.00° and 90.00°. The inequivalent atoms are Si at (0.0000, 0.0000, 0.0000), Ni at (0.0000, 0.0000, 0.5000) and H at (0.2500, 0.2500, 0.2500).

Entry 19:
Ni3P2H16O16 at its PBEsol-relaxed geometry. Source: the Alexandria database, functional SCAN.

Its total magnetic moment is 11.76 Bohr magnetons per cell. The calculation puts the total energy at -553.3 eV/cell.

The structure belongs to space group C2/m (No. 12); the cell edges are 9.8649, 12.7757 and 4.5858 Å and the angles 90.00°, 105.04° and 90.00°. The inequivalent atoms are Ni at (0.0000, 0.0000, 0.0000), Ni at (0.0000, 0.3862, 0.0000), P at (0.1859, 0.5000, 0.6178), H at (0.0278, 0.2152, 0.2727), H at (0.1230, 0.0810, 0.6359), H at (0.1249, 0.3030, 0.4907), H at (0.1898, 0.1283, 0.9674), O at (0.0966, 0.1165, 0.8116), O at (0.0971, 0.5000, 0.2863), O at (0.0982, 0.2726, 0.2822), O at (0.1557, 0.0000, 0.3899) and O at (0.1611, 0.3977, 0.7802).

Entry 20:
V3H6O10 at its PBEsol-relaxed geometry. Source: the Alexandria database, functional SCAN.

Its total magnetic moment is 2.00 Bohr magnetons per cell. The calculation puts the energy relative to the lowest polymorph listed for this composition at 0.006 eV/atom.

The structure belongs to space group P4bm (No. 100); the cell edges are 8.7391, 8.7391 and 5.5042 Å and the angles 90.00°, 90.00° and 90.00°. The inequivalent atoms are V at (0.0000, 0.0000, 0.0000), V at (0.1408, 0.3592, 0.0386), H at (0.0441, 0.6742, 0.4670), H at (0.2439, 0.2561, 0.4269), O at (0.0000, 0.0000, 0.2896), O at (0.0000, 0.5000, 0.9927), O at (0.0837, 0.1930, 0.9121), O at (0.1536, 0.6536, 0.5036) and O at (0.1592, 0.3408, 0.3543).

Entry 21:
Li2CuRh at its PBEsol-relaxed geometry. Source: the Alexandria database, functional SCAN.

Its total magnetic moment is 0.49 Bohr magnetons per cell. The formation energy comes out at -35 meV per atom. The calculation puts the energy relative to the lowest polymorph listed for this composition at 0.102 eV/atom.

The structure belongs to space group P4/mmm (No. 123); the cell edges are 2.5463, 2.5463 and 7.7739 Å and the angles 90.00°, 90.00° and 90.00°. The inequivalent atoms are Li at (0.0000, 0.0000, 0.2495), Cu at (0.5000, 0.5000, 0.0000) and Rh at (0.5000, 0.5000, 0.5000).

Entry 22:
LiSbAu2 at its PBEsol-relaxed geometry. Source: the Alexandria database, functional SCAN.

Its total magnetic moment is 0.00 Bohr magnetons per cell. For the formation energy from raw total energies, the calculation gives -0.341 eV per atom.

The structure belongs to space group I4/mmm (No. 139); the cell edges are 4.2276, 4.2276 and 8.0316 Å and the angles 90.00°, 90.00° and 90.00°. The inequivalent atoms are Li at (0.0000, 0.0000, 0.0000), Sb at (0.0000, 0.0000, 0.5000) and Au at (0.0000, 0.5000, 0.2500).